ZrP2Os, optimized geometry, DFT PBEsol; energy above the lowest structure with this stoichiometry = 0.000 eV per atom; space-group type = R-3m, No. 166; ΔH_f (0 K) = -16.496 kcal/mol of atoms; DFT total energy = -8.937 eV per atom
1.0
1.8854 1.0885 5.0144
-1.8854 1.0885 5.0144
0.0000 -2.1771 5.0144
Zr P Os
1 2 1
Direct
0.0000 0.0000 0.0000 Zr
0.2336 0.2336 0.2336 P
0.7664 0.7664 0.7664 P
0.5000 0.5000 0.5000 Os